{"formula": "K2BeSn2", "functional": "PBE", "state": "relaxed", "m_tot_mub_per_cell": 0.0, "spacegroup": "P4/mbm (127)", "dft_energy_ev_per_atom": -2.65, "e_form_ev_per_atom": 0.14, "lattice_angstrom": [[6.945, 0.000, 0.000], [0.000, 6.945, 0.000], [0.000, 0.000, 6.054]], "species": ["K", "K", "K", "K", "Be", "Be", "Sn", "Sn", "Sn", "Sn"], "frac_coords": [[0.671, 0.829, 0.500], [0.171, 0.671, 0.500], [0.829, 0.329, 0.500], [0.329, 0.171, 0.500], [0.500, 0.500, 0.000], [0.000, 0.000, 0.000], [0.347, 0.847, 0.000], [0.153, 0.347, 0.000], [0.847, 0.653, 0.000], [0.653, 0.153, 0.000]]}